1.
# PuGa7 (PBE-GGA, relaxed)
data_PuGa7
_chemical_formula_sum 'Pu1 Ga7'
_space_group_name_H-M_alt 'P -1'
_space_group_IT_number 2
_space_group_name_Hall '-P 1'
_cell_length_a 4.783
_cell_length_b 5.827
_cell_length_c 5.880
_cell_angle_alpha 95.79
_cell_angle_beta 102.55
_cell_angle_gamma 101.71
loop_
_atom_site_label
_atom_site_fract_x
_atom_site_fract_y
_atom_site_fract_z
Pu1 0.000 0.000 0.000
Ga1 0.111 0.261 0.530
Ga2 0.234 0.572 0.201
Ga3 0.374 0.692 0.802
Ga4 0.500 0.000 0.500
# Total moment: 5.7 μB/cell
# ΔE_f: -0.1478 eV/atom
# Density of states at the Fermi level: 9.48 states/eV per cell
# Total energy: -4.5878 eV/atom

---

2.
# SrLa2Cl (PBE-GGA, relaxed)
data_SrLa2Cl
_chemical_formula_sum 'Sr2 La4 Cl2'
_space_group_name_H-M_alt 'I m m 2'
_space_group_IT_number 44
_space_group_name_Hall 'I 2 -2'
_cell_length_a 3.721
_cell_length_b 6.910
_cell_length_c 11.630
_cell_angle_alpha 90.00
_cell_angle_beta 90.00
_cell_angle_gamma 90.00
loop_
_atom_site_label
_atom_site_fract_x
_atom_site_fract_y
_atom_site_fract_z
Sr1 0.000 0.000 0.000
La1 0.000 0.000 0.415
La2 0.000 0.500 0.182
Cl1 0.000 0.500 0.709
# Total moment: 0.4 μB/cell
# Density of states at the Fermi level: 9.71 states/eV per cell
# Total energy: -3.8349 eV/atom
# E_form (uncorrected): -0.489 eV/atom
# E above lowest polymorph: 0.189 eV/atom

---

Among the records above, which one has the lowest density of states at the Fermi level? PuGa7

---

Repeat the second record exactly.
# SrLa2Cl (PBE-GGA, relaxed)
data_SrLa2Cl
_chemical_formula_sum 'Sr2 La4 Cl2'
_space_group_name_H-M_alt 'I m m 2'
_space_group_IT_number 44
_space_group_name_Hall 'I 2 -2'
_cell_length_a 3.721
_cell_length_b 6.910
_cell_length_c 11.630
_cell_angle_alpha 90.00
_cell_angle_beta 90.00
_cell_angle_gamma 90.00
loop_
_atom_site_label
_atom_site_fract_x
_atom_site_fract_y
_atom_site_fract_z
Sr1 0.000 0.000 0.000
La1 0.000 0.000 0.415
La2 0.000 0.500 0.182
Cl1 0.000 0.500 0.709
# Total moment: 0.4 μB/cell
# Density of states at the Fermi level: 9.71 states/eV per cell
# Total energy: -3.8349 eV/atom
# E_form (uncorrected): -0.489 eV/atom
# E above lowest polymorph: 0.189 eV/atom